Compound: DySi2TcOs
Source: OQMD
Functional: GGA-PBE
Structure: optimized geometry

Output
Its crystal system is tetragonal. Its density is 9.9 Mg/m³. The value obtained for the calculated total energy is -80.81 eV for the cell shown.

Cell and atoms, written as CIF:
```
data_DySi2TcOs
_space_group_name_H-M_alt 'I -4 m 2'
_space_group_IT_number 119
_space_group_name_Hall 'I -4 -2'
_cell_length_a 4.181
_cell_length_b 4.181
_cell_length_c 9.751
_cell_angle_alpha 90.00
_cell_angle_beta 90.00
_cell_angle_gamma 90.00
loop_
_atom_site_label
_atom_site_fract_x
_atom_site_fract_y
_atom_site_fract_z
_atom_site_occupancy
Dy1 0.000 0.000 0.000 1
Si1 0.000 0.000 0.373 1
Tc1 0.000 0.500 0.250 1
Os1 0.000 0.500 0.750 1
```

=====

Compound: DyYSi4Os2
Source: OQMD
Functional: GGA-PBE
Structure: optimized geometry

Output
Its crystal system is monoclinic. Its density is 8.6 Mg/m³. The value obtained for the calculated total energy is -61.11 eV for the cell shown.

Cell and atoms, written as CIF:
```
data_DyYSi4Os2
_space_group_name_H-M_alt 'P 1 m 1'
_space_group_IT_number 6
_space_group_name_Hall 'P -2y'
_cell_length_a 4.423
_cell_length_b 4.091
_cell_length_c 8.140
_cell_angle_alpha 90.00
_cell_angle_beta 101.79
_cell_angle_gamma 90.00
loop_
_atom_site_label
_atom_site_fract_x
_atom_site_fract_y
_atom_site_fract_z
_atom_site_occupancy
Dy1 0.000 0.000 0.000 1
Y1 0.822 0.500 0.595 1
Si1 0.073 0.500 0.291 1
Si2 0.374 0.000 0.708 1
Si3 0.447 0.500 0.887 1
Si4 0.746 0.000 0.303 1
Os1 0.294 0.000 0.413 1
Os2 0.525 0.500 0.181 1
```

=====

Compound: Sm3Dy3Te2Os
Source: OQMD
Functional: GGA-PBE
Structure: optimized geometry

Output
Its crystal system is hexagonal. The polymorph energy (0 for the lowest one) comes out at 0 meV/atom. Its density is 9.3 Mg/m³.

Cell and atoms, written as CIF:
```
data_Sm3Dy3Te2Os
_space_group_name_H-M_alt 'P -6 2 m'
_space_group_IT_number 189
_space_group_name_Hall 'P -6 -2'
_cell_length_a 8.3819
_cell_length_b 8.3819
_cell_length_c 4.0797
_cell_angle_alpha 90.00
_cell_angle_beta 90.00
_cell_angle_gamma 120.00
loop_
_atom_site_label
_atom_site_fract_x
_atom_site_fract_y
_atom_site_fract_z
_atom_site_occupancy
Sm1 0.0000 0.3969 0.0000 1
Dy1 0.0000 0.7636 0.5000 1
Te1 0.3333 0.6667 0.5000 1
Os1 0.0000 0.0000 0.0000 1
```

=====

Compound: Sm3Dy3Te2Os
Source: OQMD
Functional: GGA-PBE
Structure: optimized geometry

Output
Its crystal system is hexagonal. The polymorph energy (0 for the lowest one) comes out at 83 meV/atom. Its density is 9.2 Mg/m³.

Cell and atoms, written as CIF:
```
data_Sm3Dy3Te2Os
_space_group_name_H-M_alt 'P -6 2 m'
_space_group_IT_number 189
_space_group_name_Hall 'P -6 -2'
_cell_length_a 8.4414
_cell_length_b 8.4414
_cell_length_c 4.0375
_cell_angle_alpha 90.00
_cell_angle_beta 90.00
_cell_angle_gamma 120.00
loop_
_atom_site_label
_atom_site_fract_x
_atom_site_fract_y
_atom_site_fract_z
_atom_site_occupancy
Sm1 0.0000 0.7570 0.0000 1
Dy1 0.0000 0.3946 0.5000 1
Te1 0.3333 0.6667 0.0000 1
Os1 0.0000 0.0000 0.5000 1
```

=====

Compound: SmDy2Tm3Te2Os
Source: OQMD
Functional: GGA-PBE
Structure: optimized geometry

Output
Its crystal system is orthorhombic. Its density is 9.8 Mg/m³. The value obtained for the calculated total energy is -103.18 eV for the cell shown.

Cell and atoms, written as CIF:
```
data_SmDy2Tm3Te2Os
_space_group_name_H-M_alt 'A m m 2'
_space_group_IT_number 38
_space_group_name_Hall 'A 2 -2'
_cell_length_a 4.064
_cell_length_b 14.208
_cell_length_c 8.341
_cell_angle_alpha 90.00
_cell_angle_beta 90.00
_cell_angle_gamma 90.00
loop_
_atom_site_label
_atom_site_fract_x
_atom_site_fract_y
_atom_site_fract_z
_atom_site_occupancy
Sm1 0.000 0.000 0.000 1
Dy1 0.000 0.193 0.595 1
Tm1 0.500 0.000 0.643 1
Tm2 0.500 0.115 0.282 1
Te1 0.500 0.170 0.900 1
Os1 0.000 0.000 0.419 1
```

=====

Compound: Dy2Sn2Os
Source: OQMD
Functional: GGA-PBE
Structure: optimized geometry

Output
Its crystal system is monoclinic. Its density is 10.3 Mg/m³. The value obtained for the calculated total energy is -123.83 eV for the cell shown.

Cell and atoms, written as CIF:
```
data_Dy2Sn2Os
_space_group_name_H-M_alt 'C 1 2/m 1'
_space_group_IT_number 12
_space_group_name_Hall '-C 2y'
_cell_length_a 10.979
_cell_length_b 4.450
_cell_length_c 10.982
_cell_angle_alpha 90.00
_cell_angle_beta 115.31
_cell_angle_gamma 90.00
loop_
_atom_site_label
_atom_site_fract_x
_atom_site_fract_y
_atom_site_fract_z
_atom_site_occupancy
Dy1 0.004 0.000 0.172 1
Dy2 0.186 0.000 0.629 1
Sn1 0.032 0.500 0.384 1
Sn2 0.157 0.500 0.049 1
Os1 0.220 0.500 0.825 1
```

=====

Compound: DyTmSn2Os
Source: OQMD
Functional: GGA-PBE
Structure: optimized geometry

Output
Its crystal system is monoclinic. Its density is 10.5 Mg/m³. The value obtained for the calculated total energy is -123.12 eV for the cell shown.

Cell and atoms, written as CIF:
```
data_DyTmSn2Os
_space_group_name_H-M_alt 'C 1 2/m 1'
_space_group_IT_number 12
_space_group_name_Hall '-C 2y'
_cell_length_a 10.878
_cell_length_b 4.432
_cell_length_c 10.942
_cell_angle_alpha 90.00
_cell_angle_beta 114.94
_cell_angle_gamma 90.00
loop_
_atom_site_label
_atom_site_fract_x
_atom_site_fract_y
_atom_site_fract_z
_atom_site_occupancy
Dy1 0.186 0.000 0.129 1
Tm1 0.002 0.000 0.671 1
Sn1 0.033 0.500 0.885 1
Sn2 0.155 0.500 0.549 1
Os1 0.219 0.500 0.326 1
```

=====

Compound: DyTmSn2Os2
Source: OQMD
Functional: GGA-PBE
Structure: optimized geometry

Output
Its crystal system is tetragonal. Its density is 11.6 Mg/m³. The value obtained for the calculated total energy is -41.56 eV for the cell shown.

Cell and atoms, written as CIF:
```
data_DyTmSn2Os2
_space_group_name_H-M_alt 'P 4 m m'
_space_group_IT_number 99
_space_group_name_Hall 'P 4 -2'
_cell_length_a 4.503
_cell_length_b 4.503
_cell_length_c 6.723
_cell_angle_alpha 90.00
_cell_angle_beta 90.00
_cell_angle_gamma 90.00
loop_
_atom_site_label
_atom_site_fract_x
_atom_site_fract_y
_atom_site_fract_z
_atom_site_occupancy
Dy1 0.000 0.000 0.000 1
Tm1 0.500 0.500 0.437 1
Sn1 0.000 0.000 0.483 1
Sn2 0.500 0.500 0.948 1
Os1 0.000 0.500 0.715 1
```

=====

Compound: SrDyOs
Source: OQMD
Functional: GGA-PBE
Structure: optimized geometry

Output
Its crystal system is cubic. Its density is 8.8 Mg/m³. The value obtained for the calculated total energy is -65.90 eV for the cell shown.

Cell and atoms, written as CIF:
```
data_SrDyOs
_space_group_name_H-M_alt 'F -4 3 m'
_space_group_IT_number 216
_space_group_name_Hall 'F -4 2 3'
_cell_length_a 6.931
_cell_length_b 6.931
_cell_length_c 6.931
_cell_angle_alpha 90.00
_cell_angle_beta 90.00
_cell_angle_gamma 90.00
loop_
_atom_site_label
_atom_site_fract_x
_atom_site_fract_y
_atom_site_fract_z
_atom_site_occupancy
Sr1 0.000 0.000 0.000 1
Dy1 0.000 0.000 0.500 1
Os1 0.250 0.250 0.750 1
```

=====

Compound: DyTaOs
Source: OQMD
Functional: GGA-PBE
Structure: optimized geometry

Output
Its crystal system is cubic. Its density is 13.6 Mg/m³. For the formation enthalpy at 0 K, the calculation gives 1.46 eV/atom.

Cell and atoms, written as CIF:
```
data_DyTaOs
_space_group_name_H-M_alt 'F -4 3 m'
_space_group_IT_number 216
_space_group_name_Hall 'F -4 2 3'
_cell_length_a 6.388
_cell_length_b 6.388
_cell_length_c 6.388
_cell_angle_alpha 90.00
_cell_angle_beta 90.00
_cell_angle_gamma 90.00
loop_
_atom_site_label
_atom_site_fract_x
_atom_site_fract_y
_atom_site_fract_z
_atom_site_occupancy
Dy1 0.000 0.000 0.000 1
Ta1 0.250 0.250 0.250 1
Os1 0.250 0.250 0.750 1
```

=====

Compound: Dy2Te3Os
Source: OQMD
Functional: GGA-PBE
Structure: optimized geometry

Output
Its crystal system is orthorhombic. Its density is 7.1 Mg/m³. The value obtained for the calculated total energy is -57.38 eV for the cell shown.

Cell and atoms, written as CIF:
```
data_Dy2Te3Os
_space_group_name_H-M_alt 'C m m m'
_space_group_IT_number 65
_space_group_name_Hall '-C 2 2'
_cell_length_a 7.964
_cell_length_b 13.119
_cell_length_c 4.033
_cell_angle_alpha 90.00
_cell_angle_beta 90.00
_cell_angle_gamma 90.00
loop_
_atom_site_label
_atom_site_fract_x
_atom_site_fract_y
_atom_site_fract_z
_atom_site_occupancy
Dy1 0.000 0.171 0.000 1
Te1 0.000 0.000 0.500 1
Te2 0.250 0.250 0.500 1
Os1 0.000 0.500 0.000 1
```

=====

Compound: DyTm3Zr2Te2Os
Source: OQMD
Functional: GGA-PBE
Structure: optimized geometry

Output
Its crystal system is orthorhombic. Its density is 9.9 Mg/m³. The value obtained for the calculated total energy is -115.66 eV for the cell shown.

Cell and atoms, written as CIF:
```
data_DyTm3Zr2Te2Os
_space_group_name_H-M_alt 'A m m 2'
_space_group_IT_number 38
_space_group_name_Hall 'A 2 -2'
_cell_length_a 3.830
_cell_length_b 14.349
_cell_length_c 7.940
_cell_angle_alpha 90.00
_cell_angle_beta 90.00
_cell_angle_gamma 90.00
loop_
_atom_site_label
_atom_site_fract_x
_atom_site_fract_y
_atom_site_fract_z
_atom_site_occupancy
Dy1 0.000 0.000 0.000 1
Tm1 0.500 0.000 0.639 1
Tm2 0.500 0.123 0.279 1
Zr1 0.000 0.200 0.596 1
Te1 0.500 0.171 0.894 1
Os1 0.000 0.000 0.388 1
```